(1)
Computed, not measured: a relaxed LiYGa crystal at the PBE level of DFT.

abc: 4.364 3.685 8.460
angles: 90.00 90.00 90.00
Atoms (fractional coordinates):
1 Li 0.250 0.000 0.089
2 Li 0.750 0.000 0.911
3 Y 0.250 0.500 0.708
4 Y 0.750 0.500 0.292
5 Ga 0.250 0.000 0.409
6 Ga 0.750 0.000 0.591

Computed properties:
**Energy of formation**: -337.6 meV per atom
**Space group**: Pmma (51)

(2)
Computed, not measured: a relaxed CsKPS2 crystal at the PBE level of DFT.

abc: 7.855 5.313 9.209
angles: 90.00 103.96 90.00
Atoms (fractional coordinates):
1 Cs 0.000 0.231 0.250
2 Cs 0.000 0.769 0.750
3 K 0.500 0.465 0.750
4 K 0.500 0.535 0.250
5 P 0.500 0.000 0.000
6 P 0.500 0.000 0.500
7 S 0.266 0.236 0.968
8 S 0.266 0.764 0.468
9 S 0.734 0.236 0.532
10 S 0.734 0.764 0.032

Computed properties:
**Raw formation energy**: -0.40 eV per atom
**Space group**: P2/c (13)

no.,DOS(E_F) (states/eV/cell),raw total energy (eV/atom),polymorph energy (0 for the lowest one) (eV per formula unit)
1,4.19,-4.14,0.26
2,6.71,-3.52,0.00